1) Compound: Ac2HoGa
Source: the Alexandria database
Functional: PBE
Structure: optimized geometry

a b c (Å): 3.7707 3.7707 37.3788
angles (deg): 90.00 90.00 120.00
Space group R-3m (No. 166, hexagonal axes)
Inequivalent atoms, fractional coordinates:
Ac (0.0000, 0.0000, 0.0870) [6 per cell]
Ho (0.0000, 0.0000, 0.5000) [3 per cell]
Ga (0.0000, 0.0000, 0.0000) [3 per cell]

Mass density ... 7.5 g/cm³

***

2) Compound: Ac2HoGa
Source: the Alexandria database
Functional: PBE
Structure: optimized geometry

a b c (Å): 5.1850 5.1850 4.8974
angles (deg): 90.00 90.00 90.00
Space group P4/mmm (No. 123)
Inequivalent atoms, fractional coordinates:
Ac (0.0000, 0.5000, 0.0000) [2 per cell]
Ho (0.0000, 0.0000, 0.5000) [1 per cell]
Ga (0.5000, 0.5000, 0.5000) [1 per cell]

Mass density ... 8.7 g/cm³

***

Of them, 2) has the highest stability.

***

1) Compound: AcHoGa4
Source: the Alexandria database
Functional: PBE
Structure: optimized geometry

a b c (Å): 8.0766 8.0766 8.0766
angles (deg): 90.00 90.00 90.00
Space group F-43m (No. 216)
Inequivalent atoms, fractional coordinates:
Ac (0.0000, 0.0000, 0.0000) [4 per cell]
Ho (0.2500, 0.2500, 0.2500) [4 per cell]
Ga (0.1247, 0.1247, 0.6247) [16 per cell]

Mass density ... 8.5 g/cm³

***

2) Compound: AcHoGa4
Source: the Alexandria database
Functional: PBE
Structure: optimized geometry

a b c (Å): 4.2943 4.2943 8.8040
angles (deg): 90.00 90.00 120.00
Space group P6/mmm (No. 191)
Inequivalent atoms, fractional coordinates:
Ac (0.0000, 0.0000, 0.0000) [1 per cell]
Ho (0.0000, 0.0000, 0.5000) [1 per cell]
Ga (0.3333, 0.6667, 0.2736) [4 per cell]

Mass density ... 7.9 g/cm³

***

Of them, 2) has the highest stability.

***

1) Compound: Ac2GaI
Source: the Alexandria database
Functional: PBE
Structure: optimized geometry

a b c (Å): 3.8735 3.8735 8.8442
angles (deg): 90.00 90.00 90.00
Space group P4/mmm (No. 123)
Inequivalent atoms, fractional coordinates:
Ac (0.0000, 0.0000, 0.2237) [2 per cell]
Ga (0.5000, 0.5000, 0.0000) [1 per cell]
I (0.5000, 0.5000, 0.5000) [1 per cell]

Mass density ... 8.1 g/cm³

***

2) Compound: Ac2GaI
Source: the Alexandria database
Functional: PBE
Structure: optimized geometry

a b c (Å): 4.7227 4.7227 23.7245
angles (deg): 90.00 90.00 120.00
Space group R-3m (No. 166, hexagonal axes)
Inequivalent atoms, fractional coordinates:
Ac (0.0000, 0.0000, 0.2364) [6 per cell]
Ga (0.0000, 0.0000, 0.5000) [3 per cell]
I (0.0000, 0.0000, 0.0000) [3 per cell]

Mass density ... 7.1 g/cm³

***

3) Compound: Ac2GaI
Source: the Alexandria database
Functional: PBE
Structure: optimized geometry

a b c (Å): 4.6565 4.6565 24.9121
angles (deg): 90.00 90.00 120.00
Space group R3m (No. 160, hexagonal axes)
Inequivalent atoms, fractional coordinates:
Ac (0.0000, 0.0000, 0.0000) [3 per cell]
Ac (0.0000, 0.0000, 0.1992) [3 per cell]
Ga (0.0000, 0.0000, 0.6002) [3 per cell]
I (0.0000, 0.0000, 0.4305) [3 per cell]

Mass density ... 6.9 g/cm³

***

4) Compound: Ac2GaI
Source: the Alexandria database
Functional: PBE
Structure: optimized geometry

a b c (Å): 8.1386 17.0331 4.3428
angles (deg): 90.00 90.00 90.00
Space group Cmcm (No. 63)
Inequivalent atoms, fractional coordinates:
Ac (0.2405, 0.1029, 0.2500) [8 per cell]
Ga (0.0000, 0.4542, 0.2500) [4 per cell]
I (0.0000, 0.2266, 0.7500) [4 per cell]

Mass density ... 7.2 g/cm³

***

Of them, 2) has the highest stability.